RbMg2Ru2: optimized geometry, PBE.

Geometry as CIF:
```
data_RbMg2Ru2
_chemical_formula_sum 'Rb2 Mg4 Ru4'
_symmetry_space_group_name_H-M 'P 4/m b m'
_symmetry_Int_Tables_number 127
_symmetry_space_group_name_Hall '-P 4 2ab'
_cell_length_a 8.5254
_cell_length_b 8.5254
_cell_length_c 2.8913
_cell_angle_alpha 90.00
_cell_angle_beta 90.00
_cell_angle_gamma 90.00
loop_
_atom_site_label
_atom_site_fract_x
_atom_site_fract_y
_atom_site_fract_z
_atom_site_occupancy
Rb1 0.0000 0.0000 0.0000 1
Mg1 0.1762 0.3238 0.0000 1
Ru1 0.0999 0.5999 0.5000 1
```

Properties
- Energy of formation: 2.6 eV/f.u.
- Raw total energy: -20.1 eV per formula unit
- Excess energy over the best structure of this formula in the dataset: 27 meV per atom



K2NpCr2S6: optimized geometry, PBE.

Geometry as CIF:
```
data_K2NpCr2S6
_chemical_formula_sum 'K4 Np2 Cr4 S12'
_symmetry_space_group_name_H-M 'C 1 2/m 1'
_symmetry_Int_Tables_number 12
_cell_length_a 6.2806
_cell_length_b 11.0214
_cell_length_c 7.7967
_cell_angle_alpha 90.00
_cell_angle_beta 104.84
_cell_angle_gamma 90.00
loop_
_symmetry_equiv_pos_as_xyz
'x,y,z'
'-x,-y,-z'
'-x,y,-z'
'x,-y,z'
'x+1/2,y+1/2,z'
'-x+1/2,-y+1/2,-z'
'-x+1/2,y+1/2,-z'
'x+1/2,-y+1/2,z'
loop_
_atom_site_label
_atom_site_fract_x
_atom_site_fract_y
_atom_site_fract_z
_atom_site_occupancy
K1 0.0000 0.1620 0.0000 1
Np1 0.0000 0.0000 0.5000 1
Cr1 0.0000 0.3333 0.5000 1
S1 0.1959 0.5000 0.6842 1
S2 0.2370 0.1803 0.6823 1
```

Properties
- Raw total energy: -71.1 eV per formula unit
- Formation energy (no corrections): -1.0861 eV per atom